No. 1
AgBPt3 | GGA-PBE | optimized geometry

- E_form: -0.539 kcal/mol of atoms
- Final energy: -5.554 eV per atom
- Space-group type: C2/m, No. 12

Unit cell a=15.877 b=7.082 c=7.082 alpha=142.52 beta=153.80 gamma=26.20
Fractional positions:
B1 0.890 0.911 0.089
B2 0.110 0.089 0.911
Ag1 0.766 0.817 0.183
Ag2 0.234 0.183 0.817
Pt1 0.199 0.842 0.158
Pt2 0.801 0.158 0.842
Pt3 0.802 0.532 0.468
Pt4 0.198 0.468 0.532
Pt5 0.497 0.694 0.306
Pt6 0.503 0.306 0.694


No. 2
FeAgIr2 | GGA-PBE | optimized geometry

- E_form: 8.952 kcal/mol of atoms
- Final energy: -6.871 eV per atom
- Space-group type: Pmmm, No. 47

Unit cell a=2.767 b=4.685 c=4.640 alpha=90.00 beta=90.00 gamma=90.00
Each line ends with the local moment (μB).
Fractional positions:
Ag1 0.500 0.000 0.500  0.05
Fe1 0.000 0.500 0.500  3.02
Ir1 0.000 0.000 0.000  0.35
Ir2 0.500 0.500 0.000  0.40


No. 3
Sm2ZrTl | GGA-PBE | optimized geometry

- E_form: -1.894 kcal/mol of atoms
- Final energy: -5.170 eV per atom
- Space-group type: P4/mmm, No. 123

Unit cell a=4.806 b=4.755 c=4.755 alpha=90.00 beta=90.00 gamma=90.00
Fractional positions:
Tl1 0.500 0.000 0.000
Zr1 0.500 0.500 0.500
Sm1 0.000 0.000 0.500
Sm2 0.000 0.500 0.000


No. 4
ReAg | GGA-PBE | optimized geometry

- E_form: 51.435 kcal/mol of atoms
- Final energy: -5.419 eV per atom
- Space-group type: Fm-3m, No. 225

Unit cell a=3.771 b=3.771 c=3.771 alpha=60.00 beta=60.00 gamma=60.00
Each line ends with the local moment (μB).
Fractional positions:
Re1 0.500 0.500 0.500  1.45
Ag1 0.000 0.000 0.000  0.09